[1]
Pm2Nd3Sn | the Alexandria database | PBE-GGA | relaxed; calculated formation energy = -0.20 eV/atom; energy = -4.83 eV per atom; E above lowest polymorph = 0.40 eV/f.u.
1.0
8.9351 0.0000 0.0000
0.0000 3.8549 0.0000
-0.0775 0.0000 11.4789
Pm Nd Sn
4 6 2
Direct
0.0865 0.2500 0.1079
0.3561 0.7500 0.5749
0.6439 0.2500 0.4251
0.9135 0.7500 0.8921
0.0966 0.2500 0.3989
0.3452 0.7500 0.9230
0.3926 0.7500 0.2478
0.6074 0.2500 0.7522
0.6548 0.2500 0.0770
0.9034 0.7500 0.6011
0.1497 0.2500 0.7409
0.8503 0.7500 0.2591

***

[2]
Pm4NdSn3 | the Alexandria database | PBE-GGA | relaxed; calculated formation energy = -0.58 eV/atom; energy = -5.06 eV per atom
1.0
5.8893 -2.4095 0.0000
5.8893 2.4095 0.0000
-3.1193 0.0000 8.8971
Pm Nd Sn
4 1 3
Direct
0.1395 0.1395 0.4307
0.3409 0.3409 0.1623
0.6591 0.6591 0.8377
0.8605 0.8605 0.5693
0.0000 0.0000 0.0000
0.3349 0.3349 0.7970
0.5000 0.5000 0.5000
0.6651 0.6651 0.2030

***

[3]
PmNd2Sn3 | the Alexandria database | PBE-GGA | relaxed; calculated formation energy = -0.64 eV/atom; energy = -5.02 eV per atom
1.0
4.7110 -7.3089 0.0000
4.7110 7.3089 0.0000
-2.6012 0.0000 5.2810
Pm Nd Sn
2 4 6
Direct
0.0836 0.9164 0.7500
0.9164 0.0836 0.2500
0.2503 0.7497 0.2500
0.4167 0.5833 0.7500
0.5833 0.4167 0.2500
0.7497 0.2503 0.7500
0.0000 0.5000 0.5000
0.1660 0.3315 0.0013
0.3315 0.1660 0.5013
0.5000 0.0000 0.0000
0.6685 0.8340 0.4987
0.8340 0.6685 0.9987

***

[4]
PmNdSn | the Alexandria database | PBE-GGA | relaxed; calculated formation energy = -0.53 eV/atom; energy = -5.04 eV per atom; E above lowest polymorph = 0.13 eV/f.u.
1.0
2.2286 -8.2885 0.0000
2.2286 8.2885 0.0000
0.0000 0.0000 4.9014
Pm Nd Sn
2 2 2
Direct
0.0726 0.9274 0.7500
0.9274 0.0726 0.2500
0.2523 0.7477 0.2500
0.7477 0.2523 0.7500
0.3994 0.6006 0.7500
0.6006 0.3994 0.2500

***

[5]
Pm8NdSn2 | the Alexandria database | PBE-GGA | relaxed; calculated formation energy = -0.19 eV/atom; energy = -4.80 eV per atom
1.0
8.3187 -3.4251 0.0000
8.3187 3.4251 0.0000
-0.5158 0.0000 6.4233
Pm Nd Sn
8 1 2
Direct
0.0839 0.0839 0.3988
0.1448 0.6546 0.0915
0.2864 0.2864 0.6676
0.3454 0.8552 0.9085
0.6546 0.1448 0.0915
0.7136 0.7136 0.3324
0.8552 0.3454 0.9085
0.9161 0.9161 0.6012
0.5000 0.5000 0.5000
0.2439 0.2439 0.1710
0.7561 0.7561 0.8290

***

[6]
Pm4Nd3Sn4 | the Alexandria database | PBE-GGA | relaxed; calculated formation energy = -0.55 eV/atom; energy = -5.03 eV per atom
1.0
-2.0593 4.6377 9.1514
2.0593 -4.6377 9.1514
2.0593 4.6377 -9.1514
Pm Nd Sn
4 3 4
Direct
0.0082 0.8301 0.1780
0.3479 0.1699 0.1780
0.6521 0.8301 0.8220
0.9918 0.1699 0.8220
0.0000 0.5000 0.5000
0.4042 0.4042 0.0000
0.5958 0.5958 0.0000
0.2709 0.7709 0.5000
0.2782 0.0000 0.2782
0.7218 0.0000 0.7218
0.7291 0.2291 0.5000

***

[7]
PmNd6Sn4 | the Alexandria database | PBE-GGA | relaxed; calculated formation energy = -0.38 eV/atom; energy = -4.86 eV per atom
1.0
-4.0550 4.0550 6.0184
4.0550 -4.0550 6.0184
4.0550 4.0550 -6.0184
Pm Nd Sn
1 6 4
Direct
0.0000 0.0000 0.0000
0.0000 0.5000 0.5000
0.1758 0.4930 0.0000
0.4930 0.1758 0.0000
0.5000 0.0000 0.5000
0.5070 0.5070 0.6828
0.8242 0.8242 0.3172
0.1746 0.1746 0.5456
0.3710 0.8254 0.0000
0.6290 0.6290 0.4544
0.8254 0.3710 0.0000

***

[8]
PmNdSn3 | the Alexandria database | PBE-GGA | relaxed; calculated formation energy = -0.32 eV/atom; energy = -4.63 eV per atom
1.0
7.5595 0.0000 0.0000
0.0000 3.4868 0.0000
-3.7553 0.0000 12.1786
Pm Nd Sn
2 2 6
Direct
0.1646 0.0000 0.3281
0.8354 0.0000 0.6719
0.3512 0.5000 0.7036
0.6488 0.5000 0.2964
0.0000 0.5000 0.5000
0.1337 0.5000 0.8807
0.2562 0.5000 0.1190
0.5000 0.5000 0.5000
0.7438 0.5000 0.8810
0.8663 0.5000 0.1193

***

> Which of these has the highest calculated formation energy?

Pm8NdSn2